Compound: Fe2SiHg
Source: Alexandria via LeMat-Bulk
Functional: PBE
Structure: relaxed

Values from the calculation:
N(E_F)	0.868	states/eV/atom
final energy	-21.19	eV/cell
space group	Cmmm (65)
formation energy (no corrections)	0.366	eV/atom
magnetization	4.92	μB per cell

```
4
Lattice="2.720 -3.847 0.000 2.720 3.847 0.000 0.000 0.000 2.762" Properties=species:S:1:pos:R:3 pbc="T T T"
Fe 1.360 1.924 0.000
Fe 1.360 -1.924 0.000
Si 0.000 0.000 1.381
Hg 2.720 0.000 1.381
```

Compound: UTiPd6
Source: Alexandria via LeMat-Bulk
Functional: PBE
Structure: relaxed

Values from the calculation:
N(E_F)	1.158	states/eV/atom
energy of formation from the pure elements	-0.551	eV/atom
final energy	-54.75	eV/cell
space group	P4/mmm (123)
magnetization	2.28	μB per cell

```
8
Lattice="4.054 0.000 0.000 0.000 4.054 0.000 0.000 0.000 8.038" Properties=species:S:1:pos:R:3 pbc="T T T"
U 0.000 0.000 0.000
Ti 0.000 0.000 4.019
Pd 0.000 2.027 2.127
Pd 0.000 2.027 5.911
Pd 2.027 0.000 2.127
Pd 2.027 0.000 5.911
Pd 2.027 2.027 0.000
Pd 2.027 2.027 4.019
```

Compound: NpAgRh4
Source: Alexandria via LeMat-Bulk
Functional: PBE
Structure: relaxed

Values from the calculation:
N(E_F)	1.467	states/eV/atom
energy of formation from the pure elements	-0.123	eV/atom
final energy	-45.94	eV/cell
space group	F-43m (216)
magnetization	2.93	μB per cell

```
6
Lattice="0.000 3.706 3.706 3.706 0.000 3.706 3.706 3.706 0.000" Properties=species:S:1:pos:R:3 pbc="T T T"
Np 0.000 0.000 0.000
Ag 1.853 1.853 1.853
Rh 4.629 2.783 2.783
Rh 2.783 4.629 2.783
Rh 2.783 2.783 4.629
Rh 4.629 4.629 4.629
```

Compound: AlCdIr2
Source: Alexandria via LeMat-Bulk
Functional: PBE
Structure: relaxed

Values from the calculation:
N(E_F)	0.377	states/eV/atom
energy of formation from the pure elements	-0.217	eV/atom
final energy	-23.25	eV/cell
space group	P4/mmm (123)
magnetization	0.00	μB per cell

```
4
Lattice="4.438 0.000 0.000 0.000 4.438 0.000 0.000 0.000 3.143" Properties=species:S:1:pos:R:3 pbc="T T T"
Al 0.000 0.000 0.000
Cd 2.219 2.219 0.000
Ir 0.000 2.219 1.571
Ir 2.219 0.000 1.571
```